A relaxed Tm3Si4Ge4 crystal, computed with PBE.

The structure belongs to space group Immm (No. 71); the cell edges are 4.217, 6.733 and 15.173 Å and the angles 90.00°, 90.00° and 90.00°. The asymmetric unit holds Tm at (0.000, 0.000, 0.000), Tm at (0.000, 0.500, 0.130), Si at (0.000, 0.320, 0.347), Ge at (0.000, 0.000, 0.216) and Ge at (0.000, 0.186, 0.500).

A relaxed Pr3Zr3Te2Ir crystal, computed with PBE.

The structure belongs to space group P-62m (No. 189); the cell edges are 8.4339, 8.4339 and 3.7725 Å and the angles 90.00°, 90.00° and 120.00°. The asymmetric unit holds Pr at (0.0000, 0.7468, 0.0000), Zr at (0.0000, 0.4109, 0.5000), Te at (0.3333, 0.6667, 0.0000) and Ir at (0.0000, 0.0000, 0.5000).

A relaxed PrInW crystal, computed with PBE.

The structure belongs to space group F-43m (No. 216); the cell edges are 7.131, 7.131 and 7.131 Å and the angles 90.00°, 90.00° and 90.00°. The asymmetric unit holds Pr at (0.000, 0.000, 0.000), In at (0.250, 0.250, 0.750) and W at (0.250, 0.250, 0.250).

A relaxed Na10Zn4O9 crystal, computed with PBE.

The structure belongs to space group P4_2/nmc (No. 137, origin choice 2); the cell edges are 10.570, 10.570 and 5.338 Å and the angles 90.00°, 90.00° and 90.00°. The asymmetric unit holds Na at (0.046, 0.111, 0.066), Na at (0.250, 0.250, 0.146), Zn at (0.098, 0.750, 0.466), O at (0.077, 0.250, 0.380), O at (0.093, 0.593, 0.250) and O at (0.250, 0.750, 0.750).

Number 1: E -5.1059 eV per atom. Number 2: E -6.5691 eV per atom. Number 3: E -5.3623 eV per atom. Number 4: E -4.0030 eV per atom.